VASP calculation (PBE+U) on crystalline K4La3MoO8 at its relaxed geometry.

Output
- M_tot (μB per cell) = 9.00
- E (eV for the cell shown) = -311.15

Lattice parameters (Å, degrees): 7.2444 7.2444 18.7890 90.00 90.00 120.00
Space group R-3m (No. 166, hexagonal axes)
Inequivalent atoms, fractional coordinates:
K 0.0000 0.0000 0.0000 (multiplicity 3)
K 0.0000 0.5000 0.0000 (multiplicity 9)
La 0.0000 0.5000 0.5000 (multiplicity 9)
Mo 0.0000 0.0000 0.5000 (multiplicity 3)
O 0.0000 0.0000 0.2310 (multiplicity 6)
O 0.0190 0.5095 0.2294 (multiplicity 18)